# 1
# SrAc4Gd

A relaxed structure of SrAc4Gd (PBE, the Alexandria database).

a = 7.3691 Å, b = 7.3691 Å, c = 7.3691 Å
α = 60.00°, β = 60.00°, γ = 60.00°
Element x y z (fractional)
Sr 0.0000 0.0000 0.0000
Ac 0.3762 0.3762 0.3762
Ac 0.3762 0.3762 0.8714
Ac 0.3762 0.8714 0.3762
Ac 0.8714 0.3762 0.3762
Gd 0.7500 0.7500 0.7500

Calculated values
* uncorrected energy: -5.102 eV per atom
* total magnetization: 7.20 Bohr magnetons per cell
* DOS at the Fermi energy: 13.46 states/eV/cell


# 2
# Tl5Hg5Pb

A relaxed structure of Tl5Hg5Pb (PBE, the Alexandria database).

a = 5.7668 Å, b = 5.7668 Å, c = 11.7709 Å
α = 90.00°, β = 90.00°, γ = 120.00°
Element x y z (fractional)
Tl 0.0000 0.0000 0.0000
Tl 0.3333 0.6667 0.2989
Tl 0.3333 0.6667 0.7011
Tl 0.6667 0.3333 0.1523
Tl 0.6667 0.3333 0.8477
Hg 0.0000 0.0000 0.2610
Hg 0.0000 0.0000 0.7390
Hg 0.3363 0.1682 0.5000
Hg 0.8318 0.1682 0.5000
Hg 0.8318 0.6637 0.5000
Pb 0.3333 0.6667 0.0000

Calculated values
* uncorrected energy: -1.507 eV per atom
* total magnetization: 0.00 Bohr magnetons per cell
* DOS at the Fermi energy: 3.36 states/eV/cell


# 3
# DyPuPa2S4

A relaxed structure of DyPuPa2S4 (PBE, the Alexandria database).

a = 6.6509 Å, b = 3.8424 Å, c = 6.9486 Å
α = 90.00°, β = 108.64°, γ = 90.00°
Element x y z (fractional)
Dy 0.0000 0.0000 0.0000
Pu 0.5000 0.5000 0.0000
Pa 0.0000 0.5000 0.5000
Pa 0.5000 0.0000 0.5000
S 0.2475 0.5000 0.2460
S 0.2505 0.0000 0.7539
S 0.7495 0.0000 0.2461
S 0.7525 0.5000 0.7540

Calculated values
* uncorrected energy: -8.538 eV per atom
* total magnetization: 4.84 Bohr magnetons per cell
* DOS at the Fermi energy: 11.28 states/eV/cell
* E_form (uncorrected): -1.734 eV per atom


# 4
# Pm3PrTh2Se6

A relaxed structure of Pm3PrTh2Se6 (PBE, the Alexandria database).

a = 7.2532 Å, b = 7.2532 Å, c = 7.3367 Å
α = 99.50°, β = 99.50°, γ = 119.79°
Element x y z (fractional)
Pm 0.0000 0.0000 0.0000
Pm 0.3377 0.6623 0.0000
Pm 0.6623 0.3377 0.0000
Pr 0.5000 0.5000 0.5000
Th 0.1676 0.8324 0.5000
Th 0.8324 0.1676 0.5000
Se 0.0779 0.4145 0.2443
Se 0.2465 0.2465 0.7503
Se 0.4145 0.0779 0.2443
Se 0.5855 0.9221 0.7557
Se 0.7535 0.7535 0.2497
Se 0.9221 0.5855 0.7557

Calculated values
* uncorrected energy: -6.292 eV per atom
* total magnetization: 0.00 Bohr magnetons per cell
* DOS at the Fermi energy: 6.81 states/eV/cell
* E_form (uncorrected): -1.728 eV per atom


# 5
# RbPb3Cl7

A relaxed structure of RbPb3Cl7 (PBE, the Alexandria database).

a = 7.1645 Å, b = 7.1645 Å, c = 7.5496 Å
α = 105.08°, β = 105.08°, γ = 95.82°
Element x y z (fractional)
Rb 0.0000 0.0000 0.0000
Pb 0.2700 0.7300 0.5000
Pb 0.5000 0.5000 0.0000
Pb 0.7300 0.2700 0.5000
Cl 0.0000 0.0000 0.5000
Cl 0.1231 0.5473 0.7620
Cl 0.3557 0.3557 0.2684
Cl 0.4527 0.8769 0.2380
Cl 0.5473 0.1231 0.7620
Cl 0.6443 0.6443 0.7316
Cl 0.8769 0.4527 0.2380

Calculated values
* uncorrected energy: -3.565 eV per atom
* total magnetization: 0.00 Bohr magnetons per cell
* DOS at the Fermi energy: 0.00 states/eV/cell
* E_form (uncorrected): -1.290 eV per atom


# 6
# Pm2DyPb3

A relaxed structure of Pm2DyPb3 (PBE, the Alexandria database).

a = 8.7952 Å, b = 8.7952 Å, c = 7.4516 Å
α = 102.16°, β = 102.16°, γ = 42.72°
Element x y z (fractional)
Pm 0.1644 0.1708 0.0839
Pm 0.1708 0.1644 0.5839
Pm 0.8292 0.8356 0.4161
Pm 0.8356 0.8292 0.9161
Dy 0.4909 0.5091 0.2500
Dy 0.5091 0.4909 0.7500
Pb 0.0097 0.9903 0.7500
Pb 0.3330 0.3396 0.4183
Pb 0.3396 0.3330 0.9183
Pb 0.6604 0.6670 0.0817
Pb 0.6670 0.6604 0.5817
Pb 0.9903 0.0097 0.2500

Calculated values
* uncorrected energy: -4.629 eV per atom
* total magnetization: 0.00 Bohr magnetons per cell
* DOS at the Fermi energy: 7.42 states/eV/cell


# 7
# Ni3CS

A relaxed structure of Ni3CS (PBE, the Alexandria database).

a = 3.8021 Å, b = 3.8021 Å, c = 3.8021 Å
α = 90.00°, β = 90.00°, γ = 90.00°
Element x y z (fractional)
Ni 0.0000 0.0000 0.5000
Ni 0.0000 0.5000 0.0000
Ni 0.5000 0.0000 0.0000
C 0.0000 0.0000 0.0000
S 0.5000 0.5000 0.5000

Calculated values
* uncorrected energy: -5.883 eV per atom
* total magnetization: 0.00 Bohr magnetons per cell
* DOS at the Fermi energy: 2.21 states/eV/cell
* E_form (uncorrected): 0.257 eV per atom


# 8
# LaVN3

A relaxed structure of LaVN3 (PBE, the Alexandria database).

a = 3.9655 Å, b = 3.9655 Å, c = 4.6098 Å
α = 90.00°, β = 90.00°, γ = 90.00°
Element x y z (fractional)
La 0.0000 0.0000 0.0000
V 0.5000 0.5000 0.4989
N 0.0000 0.0000 0.4998
N 0.0000 0.5000 0.4987
N 0.5000 0.0000 0.4987

Calculated values
* uncorrected energy: -7.571 eV per atom
* total magnetization: 0.94 Bohr magnetons per cell
* DOS at the Fermi energy: 3.02 states/eV/cell
* E_form (uncorrected): 0.233 eV per atom


# 9
# PtAu2

A relaxed structure of PtAu2 (PBE, the Alexandria database).

a = 4.9696 Å, b = 2.8675 Å, c = 14.5794 Å
α = 90.00°, β = 96.68°, γ = 90.00°
Element x y z (fractional)
Pt 0.0000 0.0000 0.0000
Pt 0.0000 0.5000 0.5000
Pt 0.5000 0.0000 0.5000
Pt 0.5000 0.5000 0.0000
Au 0.1116 0.0000 0.3356
Au 0.2192 0.5000 0.1652
Au 0.2808 0.0000 0.8348
Au 0.3884 0.5000 0.6644
Au 0.6116 0.5000 0.3356
Au 0.7192 0.0000 0.1652
Au 0.7808 0.5000 0.8348
Au 0.8884 0.0000 0.6644

Calculated values
* uncorrected energy: -4.171 eV per atom
* total magnetization: 0.00 Bohr magnetons per cell
* DOS at the Fermi energy: 7.52 states/eV/cell


# 10
# BaBiIO2

A relaxed structure of BaBiIO2 (PBE, the Alexandria database).

a = 4.7245 Å, b = 4.7245 Å, c = 6.0066 Å
α = 90.00°, β = 90.00°, γ = 90.00°
Element x y z (fractional)
Ba 0.0000 0.0000 0.0000
Bi 0.5000 0.5000 0.5000
I 0.5000 0.5000 0.0000
O 0.0000 0.5000 0.5000
O 0.5000 0.0000 0.5000

Calculated values
* uncorrected energy: -4.453 eV per atom
* total magnetization: 0.00 Bohr magnetons per cell
* DOS at the Fermi energy: 0.85 states/eV/cell
* E_form (uncorrected): -0.999 eV per atom


# 11
# MgBeAu2

A relaxed structure of MgBeAu2 (PBE, the Alexandria database).

a = 6.3710 Å, b = 6.3710 Å, c = 6.3710 Å
α = 90.00°, β = 90.00°, γ = 90.00°
Element x y z (fractional)
Mg 0.0000 0.0000 0.0000
Mg 0.0000 0.5000 0.5000
Mg 0.5000 0.0000 0.5000
Mg 0.5000 0.5000 0.0000
Be 0.2500 0.2500 0.7500
Be 0.2500 0.7500 0.2500
Be 0.7500 0.2500 0.2500
Be 0.7500 0.7500 0.7500
Au 0.0000 0.0000 0.5000
Au 0.0000 0.5000 0.0000
Au 0.2500 0.2500 0.2500
Au 0.2500 0.7500 0.7500
Au 0.5000 0.0000 0.0000
Au 0.5000 0.5000 0.5000
Au 0.7500 0.2500 0.7500
Au 0.7500 0.7500 0.2500

Calculated values
* uncorrected energy: -3.055 eV per atom
* total magnetization: 0.00 Bohr magnetons per cell
* DOS at the Fermi energy: 9.09 states/eV/cell


# 12
# AsCF2

A relaxed structure of AsCF2 (PBE, the Alexandria database).

a = 5.6910 Å, b = 5.6910 Å, c = 5.6910 Å
α = 90.00°, β = 90.00°, γ = 90.00°
Element x y z (fractional)
As 0.0000 0.0000 0.0000
As 0.0000 0.5000 0.5000
As 0.5000 0.0000 0.5000
As 0.5000 0.5000 0.0000
C 0.0000 0.0000 0.5000
C 0.0000 0.5000 0.0000
C 0.5000 0.0000 0.0000
C 0.5000 0.5000 0.5000
F 0.2500 0.2500 0.2500
F 0.2500 0.2500 0.7500
F 0.2500 0.7500 0.2500
F 0.2500 0.7500 0.7500
F 0.7500 0.2500 0.2500
F 0.7500 0.2500 0.7500
F 0.7500 0.7500 0.2500
F 0.7500 0.7500 0.7500

Calculated values
* uncorrected energy: -3.477 eV per atom
* total magnetization: 7.28 Bohr magnetons per cell
* DOS at the Fermi energy: 12.27 states/eV/cell
* E_form (uncorrected): 0.927 eV per atom


# 13
# BiPPb2

A relaxed structure of BiPPb2 (PBE, the Alexandria database).

a = 7.1712 Å, b = 7.1712 Å, c = 11.8034 Å
α = 90.00°, β = 90.00°, γ = 90.00°
Element x y z (fractional)
Bi 0.0000 0.0000 0.0000
Bi 0.0000 0.5000 0.2500
Bi 0.5000 0.0000 0.7500
Bi 0.5000 0.5000 0.5000
P 0.0000 0.0000 0.5000
P 0.0000 0.5000 0.7500
P 0.5000 0.0000 0.2500
P 0.5000 0.5000 0.0000
Pb 0.2082 0.2500 0.6250
Pb 0.2500 0.7082 0.8750
Pb 0.2500 0.7918 0.3750
Pb 0.2918 0.2500 0.1250
Pb 0.7082 0.7500 0.1250
Pb 0.7500 0.2082 0.3750
Pb 0.7500 0.2918 0.8750
Pb 0.7918 0.7500 0.6250

Calculated values
* uncorrected energy: -3.887 eV per atom
* total magnetization: 0.00 Bohr magnetons per cell
* DOS at the Fermi energy: 14.33 states/eV/cell


# 14
# Nd2Y6Ho3

A relaxed structure of Nd2Y6Ho3 (PBE, the Alexandria database).

a = 17.1045 Å, b = 17.1045 Å, c = 17.1045 Å
α = 164.06°, β = 164.06°, γ = 22.61°
Element x y z (fractional)
Nd 0.0455 0.0455 0.0000
Nd 0.9545 0.9545 0.0000
Y 0.1220 0.6220 0.5000
Y 0.1986 0.1986 0.0000
Y 0.3780 0.8780 0.5000
Y 0.6220 0.1220 0.5000
Y 0.8014 0.8014 0.0000
Y 0.8780 0.3780 0.5000
Ho 0.3008 0.3008 0.0000
Ho 0.5000 0.5000 0.0000
Ho 0.6992 0.6992 0.0000

Calculated values
* uncorrected energy: -5.359 eV per atom
* total magnetization: 0.00 Bohr magnetons per cell
* DOS at the Fermi energy: 17.39 states/eV/cell


# 15
# SrCr3Bi

A relaxed structure of SrCr3Bi (PBE, the Alexandria database).

a = 5.3992 Å, b = 5.3992 Å, c = 5.3992 Å
α = 90.00°, β = 90.00°, γ = 90.00°
Element x y z (fractional)
Sr 0.0000 0.0000 0.0000
Cr 0.0000 0.0000 0.5000
Cr 0.0000 0.5000 0.0000
Cr 0.5000 0.0000 0.0000
Bi 0.5000 0.5000 0.5000

Calculated values
* uncorrected energy: -4.851 eV per atom
* total magnetization: 13.92 Bohr magnetons per cell
* DOS at the Fermi energy: 6.47 states/eV/cell


# 16
# IrPbCl2

A relaxed structure of IrPbCl2 (PBE, the Alexandria database).

a = 3.8972 Å, b = 3.8972 Å, c = 7.8899 Å
α = 90.00°, β = 90.00°, γ = 90.00°
Element x y z (fractional)
Ir 0.0000 0.0000 0.0000
Pb 0.5000 0.5000 0.9531
Cl 0.0000 0.0000 0.2810
Cl 0.5000 0.5000 0.6364

Calculated values
* uncorrected energy: -3.994 eV per atom
* total magnetization: 0.00 Bohr magnetons per cell
* DOS at the Fermi energy: 1.60 states/eV/cell
* E_form (uncorrected): 0.071 eV per atom


# 17
# K2Ge3Au2

A relaxed structure of K2Ge3Au2 (PBE, the Alexandria database).

a = 12.4685 Å, b = 4.4368 Å, c = 8.0429 Å
α = 90.00°, β = 125.34°, γ = 90.00°
Element x y z (fractional)
K 0.1463 0.0000 0.2673
K 0.3537 0.5000 0.7327
K 0.6463 0.5000 0.2673
K 0.8537 0.0000 0.7327
Ge 0.0000 0.5000 0.5000
Ge 0.1376 0.5000 0.9317
Ge 0.3624 0.0000 0.0683
Ge 0.5000 0.0000 0.5000
Ge 0.6376 0.0000 0.9317
Ge 0.8624 0.5000 0.0683
Au 0.1206 0.0000 0.7254
Au 0.3794 0.5000 0.2746
Au 0.6206 0.5000 0.7254
Au 0.8794 0.0000 0.2746

Calculated values
* uncorrected energy: -3.361 eV per atom
* total magnetization: 0.00 Bohr magnetons per cell
* DOS at the Fermi energy: 4.43 states/eV/cell


# 18
# Ac3Pa2Rh4

A relaxed structure of Ac3Pa2Rh4 (PBE, the Alexandria database).

a = 6.5721 Å, b = 6.5721 Å, c = 9.7916 Å
α = 100.07°, β = 100.07°, γ = 35.18°
Element x y z (fractional)
Ac 0.0000 0.0000 0.0000
Ac 0.3761 0.3761 0.6096
Ac 0.6239 0.6239 0.3904
Pa 0.3145 0.3145 0.2154
Pa 0.6855 0.6855 0.7846
Rh 0.0751 0.0751 0.6449
Rh 0.3035 0.3035 0.9219
Rh 0.6965 0.6965 0.0781
Rh 0.9249 0.9249 0.3551

Calculated values
* uncorrected energy: -7.401 eV per atom
* total magnetization: 0.00 Bohr magnetons per cell
* DOS at the Fermi energy: 9.35 states/eV/cell


# 19
# Pr2HgAu

A relaxed structure of Pr2HgAu (PBE, the Alexandria database).

a = 3.8068 Å, b = 3.8068 Å, c = 7.6016 Å
α = 90.00°, β = 90.00°, γ = 90.00°
Element x y z (fractional)
Pr 0.0000 0.0000 0.2384
Pr 0.0000 0.0000 0.7616
Hg 0.5000 0.5000 0.5000
Au 0.5000 0.5000 0.0000

Calculated values
* uncorrected energy: -3.891 eV per atom
* total magnetization: 0.00 Bohr magnetons per cell
* DOS at the Fermi energy: 3.64 states/eV/cell


# 20
# BeMo5

A relaxed structure of BeMo5 (PBE, the Alexandria database).

a = 5.1560 Å, b = 5.1560 Å, c = 5.1560 Å
α = 60.00°, β = 60.00°, γ = 60.00°
Element x y z (fractional)
Be 0.0000 0.0000 0.0000
Mo 0.3745 0.3745 0.3745
Mo 0.3745 0.3745 0.8764
Mo 0.3745 0.8764 0.3745
Mo 0.7500 0.7500 0.7500
Mo 0.8764 0.3745 0.3745

Calculated values
* uncorrected energy: -9.210 eV per atom
* total magnetization: 0.00 Bohr magnetons per cell
* DOS at the Fermi energy: 2.27 states/eV/cell


# 21
# AcHg4

A relaxed structure of AcHg4 (PBE, the Alexandria database).

a = 7.2858 Å, b = 7.2831 Å, c = 4.6519 Å
α = 71.41°, β = 71.35°, γ = 37.24°
Element x y z (fractional)
Ac 0.0000 0.0000 0.0000
Hg 0.2500 0.2500 0.2500
Hg 0.3909 0.3909 0.6091
Hg 0.6091 0.6091 0.3909
Hg 0.7500 0.7500 0.7500

Calculated values
* uncorrected energy: -1.320 eV per atom
* total magnetization: 0.00 Bohr magnetons per cell
* DOS at the Fermi energy: 2.39 states/eV/cell


# 22
# LiCa2Ni3Ge4

A relaxed structure of LiCa2Ni3Ge4 (PBE, the Alexandria database).

a = 4.1521 Å, b = 4.1521 Å, c = 9.8753 Å
α = 90.00°, β = 90.00°, γ = 90.00°
Element x y z (fractional)
Li 0.0000 0.0000 0.0000
Ca 0.0000 0.5000 0.7496
Ca 0.5000 0.0000 0.2504
Ni 0.0000 0.5000 0.3747
Ni 0.5000 0.0000 0.6253
Ni 0.5000 0.5000 0.0000
Ge 0.0000 0.0000 0.5000
Ge 0.0000 0.5000 0.1334
Ge 0.5000 0.0000 0.8666
Ge 0.5000 0.5000 0.5000

Calculated values
* uncorrected energy: -4.655 eV per atom
* total magnetization: 0.00 Bohr magnetons per cell
* DOS at the Fermi energy: 5.41 states/eV/cell


# 23
# CeTi2Ga4

A relaxed structure of CeTi2Ga4 (PBE, the Alexandria database).

a = 3.0554 Å, b = 4.1155 Å, c = 20.4672 Å
α = 90.00°, β = 90.00°, γ = 90.00°
Element x y z (fractional)
Ce 0.0000 0.0000 0.0000
Ce 0.5000 0.5000 0.5000
Ti 0.0000 0.5000 0.2096
Ti 0.0000 0.5000 0.7904
Ti 0.5000 0.0000 0.2904
Ti 0.5000 0.0000 0.7096
Ga 0.0000 0.0000 0.4136
Ga 0.0000 0.0000 0.5864
Ga 0.0000 0.5000 0.3404
Ga 0.0000 0.5000 0.6596
Ga 0.5000 0.0000 0.1596
Ga 0.5000 0.0000 0.8404
Ga 0.5000 0.5000 0.0864
Ga 0.5000 0.5000 0.9136

Calculated values
* uncorrected energy: -5.238 eV per atom
* total magnetization: 1.58 Bohr magnetons per cell
* DOS at the Fermi energy: 15.62 states/eV/cell


# 24
# PaPtAu2O8

A relaxed structure of PaPtAu2O8 (PBE, the Alexandria database).

a = 6.0247 Å, b = 6.0247 Å, c = 6.0247 Å
α = 112.05°, β = 112.05°, γ = 104.42°
Element x y z (fractional)
Pa 0.0000 0.0000 0.0000
Pt 0.7500 0.2500 0.5000
Au 0.2500 0.7500 0.5000
Au 0.5000 0.5000 0.0000
O 0.0329 0.3566 0.3237
O 0.0329 0.7092 0.6763
O 0.0688 0.2653 0.8036
O 0.2908 0.9671 0.3237
O 0.4617 0.2653 0.1964
O 0.6434 0.9671 0.6763
O 0.7347 0.5383 0.8036
O 0.7347 0.9312 0.1964

Calculated values
* uncorrected energy: -5.826 eV per atom
* total magnetization: 0.00 Bohr magnetons per cell
* DOS at the Fermi energy: 12.14 states/eV/cell
* E_form (uncorrected): -0.680 eV per atom


# 25
# SrLiTa

A relaxed structure of SrLiTa (PBE, the Alexandria database).

a = 3.7099 Å, b = 3.7114 Å, c = 12.2622 Å
α = 98.29°, β = 98.47°, γ = 90.01°
Element x y z (fractional)
Sr 0.0000 0.0000 0.0000
Sr 0.3599 0.3644 0.7103
Li 0.2165 0.7134 0.4531
Li 0.7194 0.2088 0.4534
Ta 0.1338 0.1302 0.2749
Ta 0.5998 0.5971 0.2052

Calculated values
* uncorrected energy: -4.729 eV per atom
* total magnetization: 0.00 Bohr magnetons per cell
* DOS at the Fermi energy: 5.11 states/eV/cell